a:
# PBE Pr2Y2Sc, optimized geometry
# SG: Immm (71)
data_Pr2Y2Sc
_cell_length_a 4.843
_cell_length_b 6.285
_cell_length_c 6.285
_cell_angle_alpha 75.28
_cell_angle_beta 67.34
_cell_angle_gamma 67.34
_space_group_name_H-M_alt 'P 1'
_space_group_IT_number 1
loop_
_space_group_symop_operation_xyz
'x,y,z'
loop_
_atom_site_label
_atom_site_type_symbol
_atom_site_fract_x
_atom_site_fract_y
_atom_site_fract_z
_atom_site_occupancy
Y1 Y 0.209 0.291 0.291 1
Y2 Y 0.791 0.709 0.709 1
Sc1 Sc 0.000 0.000 0.000 1
Pr1 Pr 0.500 0.292 0.708 1
Pr2 Pr 0.500 0.708 0.292 1



b:
# PBE Pr2Y2Sc, optimized geometry
# SG: C2/c (15)
data_Pr2Y2Sc
_cell_length_a 6.241
_cell_length_b 8.473
_cell_length_c 6.782
_cell_angle_alpha 103.07
_cell_angle_beta 90.00
_cell_angle_gamma 111.61
_space_group_name_H-M_alt 'P 1'
_space_group_IT_number 1
loop_
_space_group_symop_operation_xyz
'x,y,z'
loop_
_atom_site_label
_atom_site_type_symbol
_atom_site_fract_x
_atom_site_fract_y
_atom_site_fract_z
_atom_site_occupancy
Y1 Y 0.776 0.391 0.147 1
Y2 Y 0.384 0.609 0.353 1
Y3 Y 0.224 0.609 0.853 1
Y4 Y 0.616 0.391 0.647 1
Pr1 Pr 0.986 0.802 0.547 1
Pr2 Pr 0.816 0.802 0.047 1
Pr3 Pr 0.014 0.198 0.453 1
Pr4 Pr 0.184 0.198 0.953 1
Sc1 Sc 0.422 0.000 0.250 1
Sc2 Sc 0.578 0.000 0.750 1



Order from most stable to least stable according to the calculation: b, a



a:
# PBE PrY2Sc, optimized geometry
# SG: Cm (8)
data_PrY2Sc
_cell_length_a 3.620
_cell_length_b 6.666
_cell_length_c 7.154
_cell_angle_alpha 122.28
_cell_angle_beta 120.38
_cell_angle_gamma 74.28
_space_group_name_H-M_alt 'P 1'
_space_group_IT_number 1
loop_
_space_group_symop_operation_xyz
'x,y,z'
loop_
_atom_site_label
_atom_site_type_symbol
_atom_site_fract_x
_atom_site_fract_y
_atom_site_fract_z
_atom_site_occupancy
Pr1 Pr 0.327 0.148 0.959 1
Y1 Y 0.329 0.120 0.448 1
Y2 Y 0.675 0.632 0.549 1
Sc1 Sc 0.668 0.636 0.044 1



b:
# PBE PrY2Sc, optimized geometry
# SG: R3m (160)
data_PrY2Sc
_cell_length_a 3.562
_cell_length_b 3.562
_cell_length_c 11.565
_cell_angle_alpha 81.14
_cell_angle_beta 81.14
_cell_angle_gamma 60.00
_space_group_name_H-M_alt 'P 1'
_space_group_IT_number 1
loop_
_space_group_symop_operation_xyz
'x,y,z'
loop_
_atom_site_label
_atom_site_type_symbol
_atom_site_fract_x
_atom_site_fract_y
_atom_site_fract_z
_atom_site_occupancy
Y1 Y 0.079 0.079 0.764 1
Y2 Y 0.255 0.255 0.236 1
Pr1 Pr 0.501 0.501 0.498 1
Sc1 Sc 0.666 0.666 0.001 1



c:
# PBE PrY2Sc, optimized geometry
# SG: Imm2 (44)
data_PrY2Sc
_cell_length_a 3.622
_cell_length_b 6.668
_cell_length_c 6.668
_cell_angle_alpha 55.01
_cell_angle_beta 74.25
_cell_angle_gamma 74.25
_space_group_name_H-M_alt 'P 1'
_space_group_IT_number 1
loop_
_space_group_symop_operation_xyz
'x,y,z'
loop_
_atom_site_label
_atom_site_type_symbol
_atom_site_fract_x
_atom_site_fract_y
_atom_site_fract_z
_atom_site_occupancy
Sc1 Sc 0.750 0.669 0.831 1
Pr1 Pr 0.250 0.179 0.321 1
Y1 Y 0.009 0.067 0.915 1
Y2 Y 0.491 0.585 0.433 1



Order from most stable to least stable according to the calculation: c, a, b



a:
# PBE PrY2Sc, optimized geometry
# SG: P4/mmm (123)
data_PrY2Sc
_cell_length_a 3.540
_cell_length_b 3.540
_cell_length_c 9.985
_cell_angle_alpha 90.00
_cell_angle_beta 90.00
_cell_angle_gamma 90.00
_space_group_name_H-M_alt 'P 1'
_space_group_IT_number 1
loop_
_space_group_symop_operation_xyz
'x,y,z'
loop_
_atom_site_label
_atom_site_type_symbol
_atom_site_fract_x
_atom_site_fract_y
_atom_site_fract_z
_atom_site_occupancy
Y1 Y 0.000 0.000 0.767 1
Y2 Y 0.000 0.000 0.233 1
Sc1 Sc 0.500 0.500 0.000 1
Pr1 Pr 0.500 0.500 0.500 1



b:
# PBE PrY2Sc, optimized geometry
# SG: Fm-3m (225)
data_PrY2Sc
_cell_length_a 5.626
_cell_length_b 5.626
_cell_length_c 5.626
_cell_angle_alpha 60.00
_cell_angle_beta 60.00
_cell_angle_gamma 60.00
_space_group_name_H-M_alt 'P 1'
_space_group_IT_number 1
loop_
_space_group_symop_operation_xyz
'x,y,z'
loop_
_atom_site_label
_atom_site_type_symbol
_atom_site_fract_x
_atom_site_fract_y
_atom_site_fract_z
_atom_site_occupancy
Y1 Y 0.250 0.250 0.250 1
Y2 Y 0.750 0.750 0.750 1
Sc1 Sc 0.500 0.500 0.500 1
Pr1 Pr 0.000 0.000 0.000 1



Order from most stable to least stable according to the calculation: a, b



a:
# PBE PrY2Sc, optimized geometry
# SG: P4/mmm (123)
data_PrY2Sc
_cell_length_a 5.058
_cell_length_b 4.959
_cell_length_c 4.959
_cell_angle_alpha 90.00
_cell_angle_beta 90.00
_cell_angle_gamma 90.00
_space_group_name_H-M_alt 'P 1'
_space_group_IT_number 1
loop_
_space_group_symop_operation_xyz
'x,y,z'
loop_
_atom_site_label
_atom_site_type_symbol
_atom_site_fract_x
_atom_site_fract_y
_atom_site_fract_z
_atom_site_occupancy
Y1 Y 0.000 0.000 0.500 1
Y2 Y 0.000 0.500 0.000 1
Sc1 Sc 0.500 0.000 0.000 1
Pr1 Pr 0.500 0.500 0.500 1



b:
# PBE PrY2Sc, optimized geometry
# SG: R-3m (166)
data_PrY2Sc
_cell_length_a 3.547
_cell_length_b 3.547
_cell_length_c 11.625
_cell_angle_alpha 81.22
_cell_angle_beta 81.22
_cell_angle_gamma 60.00
_space_group_name_H-M_alt 'P 1'
_space_group_IT_number 1
loop_
_space_group_symop_operation_xyz
'x,y,z'
loop_
_atom_site_label
_atom_site_type_symbol
_atom_site_fract_x
_atom_site_fract_y
_atom_site_fract_z
_atom_site_occupancy
Sc1 Sc 0.000 0.000 0.000 1
Pr1 Pr 0.500 0.500 0.500 1
Y1 Y 0.254 0.254 0.237 1
Y2 Y 0.746 0.746 0.763 1



Order from most stable to least stable according to the calculation: a, b



a:
# PBE PrY4Sc2, optimized geometry
# SG: P2_1/m (11)
data_PrY4Sc2
_cell_length_a 5.661
_cell_length_b 6.692
_cell_length_c 11.686
_cell_angle_alpha 90.00
_cell_angle_beta 104.67
_cell_angle_gamma 90.00
_space_group_name_H-M_alt 'P 1'
_space_group_IT_number 1
loop_
_space_group_symop_operation_xyz
'x,y,z'
loop_
_atom_site_label
_atom_site_type_symbol
_atom_site_fract_x
_atom_site_fract_y
_atom_site_fract_z
_atom_site_occupancy
Y1 Y 0.359 0.502 0.705 1
Y2 Y 0.359 0.998 0.705 1
Y3 Y 0.809 0.250 0.574 1
Y4 Y 0.641 0.498 0.295 1
Y5 Y 0.641 0.002 0.295 1
Y6 Y 0.961 0.750 0.841 1
Y7 Y 0.039 0.250 0.159 1
Y8 Y 0.191 0.750 0.426 1
Sc1 Sc 0.573 0.750 0.006 1
Sc2 Sc 0.237 0.250 0.437 1
Sc3 Sc 0.427 0.250 0.994 1
Sc4 Sc 0.763 0.750 0.563 1
Pr1 Pr 0.144 0.750 0.133 1
Pr2 Pr 0.856 0.250 0.867 1



b:
# PBE PrY4Sc2, optimized geometry
# SG: P2/m (10)
data_PrY4Sc2
_cell_length_a 3.522
_cell_length_b 5.844
_cell_length_c 11.610
_cell_angle_alpha 110.45
_cell_angle_beta 90.00
_cell_angle_gamma 90.00
_space_group_name_H-M_alt 'P 1'
_space_group_IT_number 1
loop_
_space_group_symop_operation_xyz
'x,y,z'
loop_
_atom_site_label
_atom_site_type_symbol
_atom_site_fract_x
_atom_site_fract_y
_atom_site_fract_z
_atom_site_occupancy
Y1 Y 0.000 0.650 0.219 1
Y2 Y 0.500 0.817 0.730 1
Y3 Y 0.500 0.183 0.270 1
Y4 Y 0.000 0.350 0.781 1
Sc1 Sc 0.000 0.500 0.500 1
Sc2 Sc 0.500 0.000 0.500 1
Pr1 Pr 0.000 0.000 0.000 1



Order from most stable to least stable according to the calculation: a, b



a:
# PBE Pr2Y6Sc, optimized geometry
# SG: P-1 (2)
data_Pr2Y6Sc
_cell_length_a 6.681
_cell_length_b 10.361
_cell_length_c 14.389
_cell_angle_alpha 134.66
_cell_angle_beta 117.07
_cell_angle_gamma 56.23
_space_group_name_H-M_alt 'P 1'
_space_group_IT_number 1
loop_
_space_group_symop_operation_xyz
'x,y,z'
loop_
_atom_site_label
_atom_site_type_symbol
_atom_site_fract_x
_atom_site_fract_y
_atom_site_fract_z
_atom_site_occupancy
Y1 Y 0.562 0.215 0.449 1
Y2 Y 0.343 0.659 0.848 1
Y3 Y 0.765 0.054 0.841 1
Y4 Y 0.117 0.810 0.294 1
Y5 Y 0.777 0.520 0.046 1
Y6 Y 0.438 0.785 0.551 1
Y7 Y 0.241 0.368 0.246 1
Y8 Y 0.235 0.946 0.159 1
Y9 Y 0.759 0.632 0.754 1
Y10 Y 0.657 0.341 0.152 1
Y11 Y 0.883 0.190 0.706 1
Y12 Y 0.223 0.480 0.954 1
Pr1 Pr 0.705 0.792 0.385 1
Pr2 Pr 0.877 0.330 0.407 1
Pr3 Pr 0.123 0.670 0.593 1
Pr4 Pr 0.295 0.208 0.615 1
Sc1 Sc 0.308 0.074 0.906 1
Sc2 Sc 0.692 0.926 0.094 1



b:
# PBE Pr2Y6Sc, optimized geometry
# SG: C2/c (15)
data_Pr2Y6Sc
_cell_length_a 6.088
_cell_length_b 10.094
_cell_length_c 10.094
_cell_angle_alpha 70.30
_cell_angle_beta 84.30
_cell_angle_gamma 84.30
_space_group_name_H-M_alt 'P 1'
_space_group_IT_number 1
loop_
_space_group_symop_operation_xyz
'x,y,z'
loop_
_atom_site_label
_atom_site_type_symbol
_atom_site_fract_x
_atom_site_fract_y
_atom_site_fract_z
_atom_site_occupancy
Y1 Y 0.134 0.341 0.069 1
Y2 Y 0.366 0.931 0.659 1
Y3 Y 0.634 0.069 0.341 1
Y4 Y 0.866 0.659 0.931 1
Y5 Y 0.828 0.024 0.762 1
Y6 Y 0.511 0.309 0.591 1
Y7 Y 0.489 0.691 0.409 1
Y8 Y 0.011 0.591 0.309 1
Y9 Y 0.989 0.409 0.691 1
Y10 Y 0.328 0.762 0.024 1
Y11 Y 0.672 0.238 0.976 1
Y12 Y 0.172 0.976 0.238 1
Pr1 Pr 0.938 0.777 0.566 1
Pr2 Pr 0.562 0.434 0.223 1
Pr3 Pr 0.438 0.566 0.777 1
Pr4 Pr 0.062 0.223 0.434 1
Sc1 Sc 0.750 0.895 0.105 1
Sc2 Sc 0.250 0.105 0.895 1



Order from most stable to least stable according to the calculation: a, b



a:
# PBE Pr2Y4Sc, optimized geometry
# SG: Cmmm (65)
data_Pr2Y4Sc
_cell_length_a 6.906
_cell_length_b 6.906
_cell_length_c 10.208
_cell_angle_alpha 90.00
_cell_angle_beta 90.00
_cell_angle_gamma 100.74
_space_group_name_H-M_alt 'P 1'
_space_group_IT_number 1
loop_
_space_group_symop_operation_xyz
'x,y,z'
loop_
_atom_site_label
_atom_site_type_symbol
_atom_site_fract_x
_atom_site_fract_y
_atom_site_fract_z
_atom_site_occupancy
Y1 Y 0.202 0.202 0.500 1
Y2 Y 0.000 0.500 0.250 1
Y3 Y 0.500 0.000 0.250 1
Y4 Y 0.798 0.798 0.500 1
Y5 Y 0.798 0.798 0.000 1
Y6 Y 0.000 0.500 0.750 1
Y7 Y 0.500 0.000 0.750 1
Y8 Y 0.202 0.202 0.000 1
Pr1 Pr 0.698 0.301 0.500 1
Pr2 Pr 0.302 0.699 0.500 1
Pr3 Pr 0.699 0.302 0.000 1
Pr4 Pr 0.301 0.698 0.000 1
Sc1 Sc 0.500 0.500 0.750 1
Sc2 Sc 0.500 0.500 0.250 1



b:
# PBE Pr2Y4Sc, optimized geometry
# SG: C2/c (15)
data_Pr2Y4Sc
_cell_length_a 6.996
_cell_length_b 6.996
_cell_length_c 13.050
_cell_angle_alpha 104.51
_cell_angle_beta 104.51
_cell_angle_gamma 122.12
_space_group_name_H-M_alt 'P 1'
_space_group_IT_number 1
loop_
_space_group_symop_operation_xyz
'x,y,z'
loop_
_atom_site_label
_atom_site_type_symbol
_atom_site_fract_x
_atom_site_fract_y
_atom_site_fract_z
_atom_site_occupancy
Sc1 Sc 0.849 0.151 0.250 1
Sc2 Sc 0.151 0.849 0.750 1
Y1 Y 0.770 0.827 0.549 1
Y2 Y 0.779 0.279 0.500 1
Y3 Y 0.221 0.721 0.500 1
Y4 Y 0.721 0.221 0.000 1
Y5 Y 0.230 0.173 0.451 1
Y6 Y 0.173 0.230 0.951 1
Y7 Y 0.279 0.779 0.000 1
Y8 Y 0.827 0.770 0.049 1
Pr1 Pr 0.293 0.707 0.250 1
Pr2 Pr 0.707 0.293 0.750 1
Pr3 Pr 0.576 0.424 0.250 1
Pr4 Pr 0.424 0.576 0.750 1



Order from most stable to least stable according to the calculation: b, a



a:
# PBE PrYSc4, optimized geometry
# SG: F-43m (216)
data_PrYSc4
_cell_length_a 6.327
_cell_length_b 6.327
_cell_length_c 6.327
_cell_angle_alpha 60.00
_cell_angle_beta 60.00
_cell_angle_gamma 60.00
_space_group_name_H-M_alt 'P 1'
_space_group_IT_number 1
loop_
_space_group_symop_operation_xyz
'x,y,z'
loop_
_atom_site_label
_atom_site_type_symbol
_atom_site_fract_x
_atom_site_fract_y
_atom_site_fract_z
_atom_site_occupancy
Sc1 Sc 0.625 0.625 0.125 1
Sc2 Sc 0.125 0.625 0.625 1
Sc3 Sc 0.625 0.625 0.625 1
Sc4 Sc 0.625 0.125 0.625 1
Pr1 Pr 0.250 0.250 0.250 1
Y1 Y 0.000 0.000 0.000 1



b:
# PBE PrYSc4, optimized geometry
# SG: Immm (71)
data_PrYSc4
_cell_length_a 5.352
_cell_length_b 6.308
_cell_length_c 11.409
_cell_angle_alpha 72.61
_cell_angle_beta 90.00
_cell_angle_gamma 115.10
_space_group_name_H-M_alt 'P 1'
_space_group_IT_number 1
loop_
_space_group_symop_operation_xyz
'x,y,z'
loop_
_atom_site_label
_atom_site_type_symbol
_atom_site_fract_x
_atom_site_fract_y
_atom_site_fract_z
_atom_site_occupancy
Y1 Y 0.250 0.000 0.250 1
Y2 Y 0.750 0.000 0.750 1
Sc1 Sc 0.709 0.918 0.458 1
Sc2 Sc 0.958 0.416 0.209 1
Sc3 Sc 0.042 0.584 0.791 1
Sc4 Sc 0.542 0.584 0.291 1
Sc5 Sc 0.209 0.918 0.958 1
Sc6 Sc 0.291 0.082 0.542 1
Sc7 Sc 0.791 0.082 0.042 1
Sc8 Sc 0.458 0.416 0.709 1
Pr1 Pr 0.500 0.500 0.000 1
Pr2 Pr 0.000 0.500 0.500 1



Order from most stable to least stable according to the calculation: b, a